No. 1
The following is a DFT calculation (PBE-GGA) of a relaxed structure of Tl2IrW.

Results
- space group = No. 8
- size of the total moment (Bohr magnetons per cell) = 0.0
- ΔE_f (eV per atom) = 0.5756
- total energy (eV/atom) = -6.0611
- excess energy over the best structure of this formula in the dataset (eV per atom) = 0.2024

Lattice parameters (Å, degrees): 4.269 4.269 8.038 83.91 83.91 39.69
Fractional coordinates of all 4 atoms:
Ir 0.249 0.249 0.303
Tl 0.987 0.987 0.045
Tl 0.764 0.764 0.714
W 0.500 0.500 0.439

***

No. 2
The following is a DFT calculation (PBE-GGA) of a relaxed structure of Sc2HgPt9.

Results
- space group = No. 123
- size of the total moment (Bohr magnetons per cell) = 0.0
- ΔE_f (eV per atom) = -0.7039
- total energy (eV/atom) = -6.3149

Lattice parameters (Å, degrees): 4.016 4.016 12.177 90.00 90.00 90.00
Fractional coordinates of all 12 atoms:
Sc 0.000 0.000 0.334
Sc 0.000 0.000 0.666
Hg 0.000 0.000 0.000
Pt 0.500 0.500 0.000
Pt 0.500 0.500 0.337
Pt 0.500 0.500 0.663
Pt 0.500 0.000 0.175
Pt 0.500 0.000 0.500
Pt 0.500 0.000 0.825
Pt 0.000 0.500 0.175
Pt 0.000 0.500 0.500
Pt 0.000 0.500 0.825